# SrHfAg3 SCAN PBEsol geometry
# * magnetic moment: 1.3 μB/cell
# * formation enthalpy at 0 K: 1.458 eV/atom
# * raw total energy: -171.76 eV per cell
# * volume: 27.2 Å³/atom
data_SrHfAg3
_chemical_formula_sum 'Sr1 Hf1 Ag3'
_symmetry_space_group_name_H-M 'P m -3 m'
_symmetry_Int_Tables_number 221
_symmetry_space_group_name_Hall '-P 4 2 3'
_cell_length_a 5.141
_cell_length_b 5.141
_cell_length_c 5.141
_cell_angle_alpha 90.00
_cell_angle_beta 90.00
_cell_angle_gamma 90.00
loop_
_atom_site_label
_atom_site_type_symbol
_atom_site_fract_x
_atom_site_fract_y
_atom_site_fract_z
Sr1 Sr 0.000 0.000 0.000
Hf1 Hf 0.500 0.500 0.500
Ag1 Ag 0.000 0.000 0.500